5
Lattice="-1.8297 4.1484 -0.1358 -2.3422 -1.1544 -3.7089 -6.3154 -0.2631 1.2964" Properties=species:S:1:pos:R:3 comment="BaNb2Rh2, optimized geometry, DFT PBE" spacegroup="No. 139" e_above_lowest_polymorph_ev_per_fu=0.00 pbc="T T T"
Ba 0.0000 0.0000 0.0000
Nb -5.1155 2.6911 -0.3809
Nb -5.3718 0.0397 -2.1674
Rh -3.2496 1.0127 -1.0368
Rh -7.2377 1.7181 -1.5116

=====

4
Lattice="3.4473 0.0118 0.0204 -0.0190 4.8219 0.0656 -0.0251 -2.2146 5.3688" Properties=species:S:1:pos:R:3 comment="SnBiAuN, optimized geometry, DFT PBE" spacegroup="No. 6" e_above_lowest_polymorph_ev_per_fu=0.35 e_form_raw_mev_per_atom=332 pbc="T T T"
Au 0.5612 2.0612 0.2304
Bi 0.5641 -0.6311 1.9877
Sn 2.2640 1.7383 4.0384
N 0.5350 3.1022 4.1260

=====

10
Lattice="-6.1893 1.0560 -1.7197 -1.2862 -6.3390 0.7363 -0.9774 0.6536 3.9193" Properties=species:S:1:pos:R:3 comment="Zr2Cr2Pd, optimized geometry, DFT PBE" dft_energy_ev_per_cell=-83.27 spacegroup="No. 127" pbc="T T T"
Zr -2.6846 -0.5007 1.5500
Zr -5.7683 -4.1287 1.3859
Zr -2.5020 -3.8111 2.1475
Zr -5.9509 -0.8183 0.7884
Cr -1.1642 -2.3836 0.1071
Cr -3.5863 -5.2496 -0.0190
Cr -3.8891 -0.0334 -0.9643
Cr -6.3113 -2.8994 -1.0905
Pd -3.7377 -2.6415 -0.4917
Pd 0.0000 0.0000 0.0000

=====

4
Lattice="-2.4688 1.2223 1.6714 -0.7176 -1.1820 2.9105 6.3039 7.9822 6.5799" Properties=species:S:1:pos:R:3 comment="PuPaSn2, optimized geometry, DFT PBE" spacegroup="No. 166" e_above_lowest_polymorph_ev_per_fu=1.67 pbc="T T T"
Sn 4.3404 5.8580 5.2330
Sn -1.2229 2.1645 5.9287
Pa 0.0000 0.0000 0.0000
Pu 1.5587 4.0112 5.5809

=====

4
Lattice="4.4398 0.0000 0.0000 2.2199 3.8450 0.0000 2.2199 1.2817 3.6251" Properties=species:S:1:pos:R:3 comment="Si2RhAu, optimized geometry, DFT PBE" spacegroup="No. 216" e_above_lowest_polymorph_ev_per_fu=2.13 e_form_raw_mev_per_atom=249 pbc="T T T"
Au 4.4398 2.5633 1.8126
Si 2.2199 1.2817 0.9063
Si 0.0000 0.0000 0.0000
Rh 6.6598 3.8450 2.7188

=====

4
Lattice="-2.6925 -2.4804 -0.2831 0.9956 -1.4487 3.2237 -5.0829 5.0780 3.8517" Properties=species:S:1:pos:R:3 comment="TbTh2Rh, optimized geometry, DFT PBE" spacegroup="No. 123" e_above_lowest_polymorph_ev_per_fu=0.64 pbc="T T T"
Rh -0.8484 -1.9645 1.4703
Th -1.0252 1.0242 0.7769
Th -4.0577 4.0537 3.0748
Tb -3.3899 0.5745 3.3962

=====

Going through the records in order, we get mass density values of 7.62 9.97 7.52 10.99 9.55 10.97 g cm⁻³.
Going through the records in order, we get total magnetization values of 0.000 0.000 0.000 1.377 0.000 0.000 μB per atom.